The following is a PBE-GGA calculation of a geometry-optimized AcPm2Tl4 structure, from Alexandria via LeMat-Bulk.

Output
formation energy from the elements: -1.36 eV/f.u.
energy: -24.43 eV for the cell shown
space group: P4/mmm
N(E_F): 6.586 states/eV/cell

Cell: 5.427 5.427 7.969 Å, 90.00 90.00 90.00°
Atoms (fractional coordinates):
1 Ac 0.000 0.000 0.000
2 Pm 0.000 0.000 0.500
3 Pm 0.500 0.500 0.000
4 Tl 0.000 0.500 0.279
5 Tl 0.000 0.500 0.721
6 Tl 0.500 0.000 0.279
7 Tl 0.500 0.000 0.721